[1]
This record from the Open Quantum Materials Database describes a geometry-optimized Ba2Hg2SeSO2 structure. The functional is GGA-PBE.

## Properties
Space-group type: No. 156

Cell: 4.3142 4.3142 12.6305 Å, 90.00 90.00 120.00°
Last column: nearest neighbours and their distance in Å.
Fractional positions:
Ba 0.0000 0.0000 0.2798  3 O 2.58
Ba 0.3333 0.6667 0.7683  3 O 2.58
S 0.0000 0.0000 0.5801  3 Hg 2.65
Hg 0.6667 0.3333 0.5086  1 O 2.21
Hg 0.6667 0.3333 0.9981  1 O 2.21
O 0.6667 0.3333 0.8230  1 Hg 2.21
O 0.6667 0.3333 0.3335  1 Hg 2.21
Se 0.3333 0.6667 0.0839  3 Hg 2.72

[2]
This record from the Open Quantum Materials Database describes a geometry-optimized Ba2ZnHgSe2O2 structure. The functional is GGA-PBE.

## Properties
Space-group type: No. 156

Cell: 4.2699 4.2699 12.6144 Å, 90.00 90.00 120.00°
Last column: nearest neighbours and their distance in Å.
Fractional positions:
Hg 0.0000 0.0000 0.0004  1 O 2.21
O 0.0000 0.0000 0.3462  1 Zn 1.91
O 0.0000 0.0000 0.8248  1 Hg 2.21
Se 0.6667 0.3333 0.5653  3 Zn 2.61
Se 0.3333 0.6667 0.0885  3 Hg 2.70
Ba 0.3333 0.6667 0.7677  3 O 2.57
Ba 0.6667 0.3333 0.2850  3 O 2.58
Zn 0.0000 0.0000 0.4976  1 O 1.91

[3]
This record from the Open Quantum Materials Database describes a geometry-optimized Ba2ZnHgTe2O2 structure. The functional is GGA-PBE.

## Properties
Space-group type: No. 156

Cell: 4.4127 4.4127 13.1013 Å, 90.00 90.00 120.00°
Last column: nearest neighbours and their distance in Å.
Fractional positions:
Te 0.6667 0.3333 0.9322  3 Zn 2.75
Te 0.3333 0.6667 0.4132  3 Hg 2.83
Ba 0.6667 0.3333 0.2063  3 O 2.63
Ba 0.3333 0.6667 0.7207  3 O 2.61
O 0.0000 0.0000 0.6771  1 Hg 2.22
O 0.0000 0.0000 0.1568  1 Zn 1.92
Zn 0.0000 0.0000 0.0102  1 O 1.92
Hg 0.0000 0.0000 0.5080  1 O 2.22

[4]
This record from the Open Quantum Materials Database describes a geometry-optimized Ba2HgOs structure. The functional is GGA-PBE.

## Properties
Spin magnetization, μB per formula unit: 0.003
Space-group type: No. 216

Cell: 5.3849 5.3849 5.3849 Å, 60.00 60.00 60.00°
Last column: nearest neighbours and their distance in Å.
Fractional positions:
Os 0.5000 0.5000 0.5000  4 Ba 3.30, 4 Hg 3.30
Ba 0.0000 0.0000 0.0000  4 Ba 3.30, 4 Hg 3.30
Ba 0.7500 0.7500 0.7500  4 Os 3.30, 4 Ba 3.30
Hg 0.2500 0.2500 0.2500  4 Os 3.30, 4 Ba 3.30

What are the electronic total energy values for these records? In order: -0.3034, -0.3196, -0.3065, -0.2366 Ry per atom.